Entry 1:
# Zr4MnNi, optimized geometry, DFT PBE
data_Zr4MnNi
_symmetry_space_group_name_H-M 'I 4 2 2'
_symmetry_Int_Tables_number 97
_symmetry_space_group_name_Hall 'I 4 2'
_cell_length_a 6.504
_cell_length_b 6.504
_cell_length_c 5.376
_cell_angle_alpha 90.00
_cell_angle_beta 90.00
_cell_angle_gamma 90.00
loop_
_atom_site_label
_atom_site_type_symbol
_atom_site_fract_x
_atom_site_fract_y
_atom_site_fract_z
Zr1 Zr 0.165 0.335 0.250
Mn1 Mn 0.000 0.000 0.000
Ni1 Ni 0.000 0.000 0.500
# energy relative to the elements	-0.9	eV/f.u.
# density of states at the Fermi level	16.26	states/eV per cell
# calculated total energy	-100.16	eV/cell
# distance to the lowest polymorph of the same formula	0	meV per atom


Entry 2:
# BaTaTi2O8, optimized geometry, DFT PBE
data_BaTaTi2O8
_symmetry_space_group_name_H-M 'C 1 2/m 1'
_symmetry_Int_Tables_number 12
_cell_length_a 9.137
_cell_length_b 5.989
_cell_length_c 7.597
_cell_angle_alpha 90.00
_cell_angle_beta 103.61
_cell_angle_gamma 90.00
loop_
_symmetry_equiv_pos_as_xyz
'x,y,z'
'-x,-y,-z'
'-x,y,-z'
'x,-y,z'
'x+1/2,y+1/2,z'
'-x+1/2,-y+1/2,-z'
'-x+1/2,y+1/2,-z'
'x+1/2,-y+1/2,z'
loop_
_atom_site_label
_atom_site_type_symbol
_atom_site_fract_x
_atom_site_fract_y
_atom_site_fract_z
Ba1 Ba 0.000 0.000 0.000
Ta1 Ta 0.000 0.000 0.500
Ti1 Ti 0.094 0.500 0.266
O1 O 0.011 0.230 0.312
O2 O 0.128 0.500 0.038
O3 O 0.221 0.000 0.588
# calculated total energy	-204.85	eV/cell
# energy relative to the elements, uncorrected	-2766	meV/atom